# BSeI2O (PBE-GGA, optimized geometry)
# spin magnetization	0.00	μB/cell
# offset from the most stable computed form	790	meV/atom
# space group	P4/mmm
# energy	-2.75	eV per atom
# crystal system	tetragonal
data_BSeI2O
_chemical_formula_sum 'B1 Se1 I2 O1'
_cell_length_a 5.8538
_cell_length_b 5.8538
_cell_length_c 3.8130
_cell_angle_alpha 90.00
_cell_angle_beta 90.00
_cell_angle_gamma 90.00
_space_group_name_H-M_alt 'P 1'
_space_group_IT_number 1
loop_
_space_group_symop_operation_xyz
'x,y,z'
loop_
_atom_site_label
_atom_site_fract_x
_atom_site_fract_y
_atom_site_fract_z
Se1 0.0000 0.0000 0.0000
B1 0.5000 0.5000 0.5000
I1 0.5000 0.0000 0.0000
O1 0.0000 0.0000 0.5000
I2 0.0000 0.5000 0.0000